# 1
Entry from Alexandria: a geometry-optimized NiRuRh2 structure (GGA-PBEsol).

```
NiRuRh2
1.0
-0.234 -2.596 0.441
1.358 -0.498 -2.213
6.204 0.084 3.790
Rh Ru Ni
2 1 1
direct
0.000 0.000 0.989
0.500 0.500 0.254
0.000 0.000 0.510
0.500 0.500 0.747
```

The density of states at the Fermi level comes out at 1.46 states/eV per atom. As for the calculated formation energy: 67 meV per atom. The magnetic moment comes out at 0.00 μB/f.u. As for the symmetry: No. 99. For the polymorph energy (0 for the lowest one), the calculation gives 0.038 eV/atom. The total DFT energy (no corrections) is -8.085 eV/atom.

# 2
Entry from Alexandria: a geometry-optimized NiRuRh structure (GGA-PBEsol).

```
NiRuRh
1.0
-0.575 -0.999 2.378
3.394 -1.290 0.279
-0.287 4.460 0.336
Rh Ru Ni
1 1 1
direct
0.666 0.666 0.333
0.336 0.336 0.672
0.998 0.998 0.995
```

The density of states at the Fermi level comes out at 1.07 states/eV per atom. As for the calculated formation energy: 38 meV per atom. The magnetic moment comes out at 0.00 μB/f.u. As for the symmetry: No. 44. For the polymorph energy (0 for the lowest one), the calculation gives 0.000 eV/atom. The total DFT energy (no corrections) is -8.118 eV/atom.

# 3
Entry from Alexandria: a geometry-optimized NiRuRh2 structure (GGA-PBEsol).

```
NiRuRh2
1.0
2.645 0.000 0.000
1.323 2.291 0.000
1.323 0.764 8.451
Rh Ni Ru
2 1 1
direct
0.251 0.251 0.246
0.749 0.749 0.754
0.000 0.000 0.000
0.500 0.500 0.500
```

The density of states at the Fermi level comes out at 1.22 states/eV per atom. As for the calculated formation energy: 52 meV per atom. The magnetic moment comes out at 0.01 μB/f.u. As for the symmetry: No. 166. For the polymorph energy (0 for the lowest one), the calculation gives 0.024 eV/atom. The total DFT energy (no corrections) is -8.099 eV/atom.

Question: Which of these has the lowest calculated formation energy?
Answer: NiRuRh

Question: What is the total DFT energy (no corrections) in the first record?
Answer: -8.085 eV/atom

Question: Which formula does entry 3 have?
Answer: NiRuRh2